Compound: Tl5Bi4Pb2
Source: Alexandria
Functional: GGA-PBE
Structure: optimized geometry

The structure in CIF format:
```
data_Tl5Bi4Pb2
_chemical_formula_sum 'Tl10 Bi8 Pb4'
_cell_length_a 5.410
_cell_length_b 9.136
_cell_length_c 18.418
_cell_angle_alpha 90.00
_cell_angle_beta 90.00
_cell_angle_gamma 90.00
_symmetry_space_group_name_H-M 'I m m m'
_symmetry_Int_Tables_number 71
_symmetry_space_group_name_Hall '-I 2 2'
loop_
_atom_site_label
_atom_site_fract_x
_atom_site_fract_y
_atom_site_fract_z
_atom_site_occupancy
Tl1 0.000 0.000 0.000 1
Tl2 0.000 0.179 0.319 1
Bi1 0.000 0.188 0.500 1
Bi2 0.000 0.500 0.236 1
Pb1 0.000 0.500 0.406 1
```

Properties
Formation energy ... 2.148 eV per formula unit
Crystal system ... orthorhombic

Compound: NpCd2Bi
Source: Alexandria
Functional: GGA-PBE
Structure: optimized geometry

The structure in CIF format:
```
data_NpCd2Bi
_chemical_formula_sum 'Np1 Cd2 Bi1'
_cell_length_a 4.506
_cell_length_b 4.506
_cell_length_c 5.146
_cell_angle_alpha 90.00
_cell_angle_beta 90.00
_cell_angle_gamma 90.00
_symmetry_space_group_name_H-M 'P 4/m m m'
_symmetry_Int_Tables_number 123
_symmetry_space_group_name_Hall '-P 4 2'
loop_
_atom_site_label
_atom_site_fract_x
_atom_site_fract_y
_atom_site_fract_z
_atom_site_occupancy
Np1 0.000 0.000 0.000 1
Cd1 0.000 0.500 0.500 1
Bi1 0.500 0.500 0.000 1
```

Properties
Formation energy ... 0.114 eV per formula unit
Crystal system ... tetragonal

Compound: Nd2DyErS5
Source: Alexandria
Functional: GGA-PBE
Structure: optimized geometry

The structure in CIF format:
```
data_Nd2DyErS5
_chemical_formula_sum 'Nd2 Dy1 Er1 S5'
_cell_length_a 4.850
_cell_length_b 4.850
_cell_length_c 10.250
_cell_angle_alpha 90.00
_cell_angle_beta 90.00
_cell_angle_gamma 90.00
_symmetry_space_group_name_H-M 'P 4/m m m'
_symmetry_Int_Tables_number 123
_symmetry_space_group_name_Hall '-P 4 2'
loop_
_atom_site_label
_atom_site_fract_x
_atom_site_fract_y
_atom_site_fract_z
_atom_site_occupancy
Nd1 0.000 0.000 0.206 1
Dy1 0.500 0.500 0.500 1
Er1 0.500 0.500 0.000 1
S1 0.000 0.000 0.500 1
S2 0.000 0.500 0.000 1
S3 0.500 0.500 0.255 1
```

Properties
Crystal system ... tetragonal

Compound: Pu2Cd15Ag2
Source: Alexandria
Functional: GGA-PBE
Structure: optimized geometry

The structure in CIF format:
```
data_Pu2Cd15Ag2
_chemical_formula_sum 'Pu6 Cd45 Ag6'
_cell_length_a 10.0270
_cell_length_b 10.0270
_cell_length_c 15.0114
_cell_angle_alpha 90.00
_cell_angle_beta 90.00
_cell_angle_gamma 120.00
_symmetry_space_group_name_H-M 'R -3 m'
_symmetry_Int_Tables_number 166
_symmetry_space_group_name_Hall '-R 3 2"'
loop_
_atom_site_label
_atom_site_fract_x
_atom_site_fract_y
_atom_site_fract_z
_atom_site_occupancy
Pu1 0.0000 0.0000 0.1661 1
Cd1 0.0000 0.2960 0.5000 1
Cd2 0.0000 0.5000 0.0000 1
Cd3 0.0088 0.5044 0.6465 1
Ag1 0.0000 0.0000 0.3951 1
```

Properties
Formation energy ... -0.238 eV per formula unit
Crystal system ... trigonal

Uncorrected energy (eV per atom)
-2.966; -4.634; -5.842; -2.544